4
Lattice="0.000 3.067 3.067 3.067 0.000 3.067 3.067 3.067 0.000" Properties=species:S:1:pos:R:3 comment="LiSeF2 | Alexandria via LeMat-Bulk | PBE | relaxed" formation_energy_uncorrected_ev_per_atom=-0.956 e_above_lowest_polymorph_mev_per_atom=842.8 total_energy_ev_per_atom=-3.2411 pbc="T T T"
Li 0.000 0.000 0.000
Se 3.067 3.067 3.067
F 1.534 1.534 1.534
F 4.601 4.601 4.601

4
Lattice="1.569 0.906 6.182 -1.569 0.906 6.182 0.000 -1.811 6.182" Properties=species:S:1:pos:R:3 comment="LiSeF2 | Alexandria via LeMat-Bulk | PBE | relaxed" formation_energy_uncorrected_ev_per_atom=-1.799 e_above_lowest_polymorph_mev_per_atom=0.0 total_energy_ev_per_atom=-4.0839 pbc="T T T"
Li 0.000 0.000 0.000
Se 0.000 0.000 9.272
F 0.000 0.000 7.223
F 0.000 0.000 11.321

4
Lattice="1.493 0.862 7.400 -1.493 0.862 7.400 0.000 -1.724 7.400" Properties=species:S:1:pos:R:3 comment="LiSeF2 | Alexandria via LeMat-Bulk | PBE | relaxed" formation_energy_uncorrected_ev_per_atom=-1.180 e_above_lowest_polymorph_mev_per_atom=618.7 total_energy_ev_per_atom=-3.4652 pbc="T T T"
Li 0.000 0.000 0.000
Se 0.000 0.000 11.099
F 0.000 0.000 1.700
F 0.000 0.000 20.499

8
Lattice="2.568 1.482 4.552 -2.568 1.482 4.552 0.000 -2.965 4.552" Properties=species:S:1:pos:R:3 comment="LiSeF6 | Alexandria via LeMat-Bulk | PBE | relaxed" formation_energy_uncorrected_ev_per_atom=-1.909 e_above_lowest_polymorph_mev_per_atom=0.0 total_energy_ev_per_atom=-3.9876 pbc="T T T"
Li 0.000 0.000 0.000
Se 0.000 0.000 6.828
F -1.502 0.171 5.756
F -0.899 -1.215 7.901
F 0.603 -1.386 5.756
F -0.603 1.386 7.901
F 0.899 1.215 5.756
F 1.502 -0.171 7.901

> Number 3 is which compound?

LiSeF2